Os3RhW: relaxed, PBE.

The space group is Pm-3m (No. 221) and the conventional cell measures 4.5807, 4.5807 and 4.5807 Å, with angles of 90.00, 90.00 and 90.00 degrees. The asymmetric unit holds Os at (0.0000, 0.0000, 0.5000), Rh at (0.0000, 0.0000, 0.0000) and W at (0.5000, 0.5000, 0.5000).

As for the formation energy from the elements: 13.58 eV/f.u.